(1)
Density functional theory data (PBE) for a relaxed structure of ZrInAs2.

a = 3.169 Å, b = 3.169 Å, c = 8.530 Å
α = 90.00°, β = 90.00°, γ = 90.00°
Fractional positions:
Zr 0.000 0.000 0.000
In 0.500 0.500 0.732
As 0.000 0.000 0.504
As 0.500 0.500 0.220

## Properties
Total magnetization (μB per formula unit): 0.0
SG: P4mm, No. 99
Crystal system: tetragonal
Energy of formation from the pure elements (kJ per mole of atoms): -1.18

---

(2)
Density functional theory data (PBE) for a relaxed structure of Cd3GaF.

a = 4.875 Å, b = 4.875 Å, c = 4.875 Å
α = 90.00°, β = 90.00°, γ = 90.00°
Fractional positions:
Cd 0.000 0.000 0.500
Cd 0.000 0.500 0.000
Cd 0.500 0.000 0.000
Ga 0.500 0.500 0.500
F 0.000 0.000 0.000

## Properties
Total magnetization (μB per formula unit): 0.0
Energy relative to the lowest polymorph listed for this composition (eV/atom): 0.000
SG: Pm-3m, No. 221
Crystal system: cubic

---

(3)
Density functional theory data (PBE) for a relaxed structure of Li2CeTeS4.

a = 7.584 Å, b = 7.584 Å, c = 8.108 Å
α = 116.96°, β = 116.96°, γ = 89.65°
Fractional positions:
Li 0.000 0.000 0.000
Li 0.000 0.000 0.500
Li 0.000 0.500 0.000
Li 0.500 0.000 0.500
Ce 0.000 0.500 0.500
Ce 0.500 0.000 0.000
Te 0.500 0.500 0.000
Te 0.500 0.500 0.500
S 0.211 0.213 0.407
S 0.213 0.211 0.907
S 0.226 0.724 0.962
S 0.276 0.774 0.538
S 0.724 0.226 0.462
S 0.774 0.276 0.038
S 0.787 0.789 0.093
S 0.789 0.787 0.593

## Properties
Total magnetization (μB per formula unit): 0.2
SG: C2/c, No. 15
Crystal system: monoclinic
Electronic total energy (eV per cell): -75.563

---

(4)
Density functional theory data (PBE) for a relaxed structure of Pr2TmGa3.

a = 8.167 Å, b = 8.167 Å, c = 8.167 Å
α = 154.08°, β = 135.94°, γ = 51.83°
Fractional positions:
Pr 0.168 0.168 0.000
Pr 0.832 0.832 0.000
Tm 0.500 0.500 0.000
Ga 0.000 0.500 0.500
Ga 0.341 0.841 0.500
Ga 0.659 0.159 0.500

## Properties
Total magnetization (μB per formula unit): 0.0
SG: Immm, No. 71
Crystal system: orthorhombic
Energy of formation from the pure elements (kJ per mole of atoms): -30.55

---

(5)
Density functional theory data (PBE) for a relaxed structure of KLiSb2Te.

a = 5.146 Å, b = 5.146 Å, c = 5.565 Å
α = 90.00°, β = 90.00°, γ = 90.00°
Fractional positions:
K 0.000 0.000 0.000
Li 0.500 0.500 0.500
Sb 0.000 0.500 0.500
Sb 0.500 0.000 0.500
Te 0.500 0.500 0.000

## Properties
Total magnetization (μB per formula unit): 0.0
Energy relative to the lowest polymorph listed for this composition (eV/atom): 0.000
SG: P4/mmm, No. 123
Crystal system: tetragonal

---

(6)
Density functional theory data (PBE) for a relaxed structure of SiTeN2O.

a = 3.384 Å, b = 3.384 Å, c = 6.183 Å
α = 90.00°, β = 90.00°, γ = 90.00°
Fractional positions:
Si 0.000 0.000 0.000
Te 0.000 0.000 0.500
N 0.000 0.500 0.000
N 0.500 0.000 0.000
O 0.500 0.500 0.500

## Properties
Total magnetization (μB per formula unit): 0.0
SG: P4/mmm, No. 123
Crystal system: tetragonal
Electronic total energy (eV per cell): -28.098

---

(7)
Density functional theory data (PBE) for a relaxed structure of RbYBe3.

a = 4.942 Å, b = 4.942 Å, c = 4.942 Å
α = 90.00°, β = 90.00°, γ = 90.00°
Fractional positions:
Rb 0.000 0.000 0.000
Y 0.500 0.500 0.500
Be 0.000 0.000 0.500
Be 0.000 0.500 0.000
Be 0.500 0.000 0.000

## Properties
Total magnetization (μB per formula unit): 0.0
Energy relative to the lowest polymorph listed for this composition (eV/atom): 0.456
SG: Pm-3m, No. 221
Crystal system: cubic
Energy of formation from the pure elements (kJ per mole of atoms): 184.96

---

(8)
Density functional theory data (PBE) for a relaxed structure of NaAcDy.

a = 3.755 Å, b = 3.755 Å, c = 9.412 Å
α = 90.00°, β = 90.00°, γ = 120.00°
Fractional positions:
Na 0.000 0.000 0.000
Ac 0.667 0.333 0.358
Dy 0.333 0.667 0.669

## Properties
Total magnetization (μB per formula unit): 0.0
Energy relative to the lowest polymorph listed for this composition (eV/atom): 0.062
SG: P3m1, No. 156
Crystal system: trigonal
Energy of formation from the pure elements (kJ per mole of atoms): 15.07

---

(9)
Density functional theory data (PBE) for a relaxed structure of Sm2NpTlO8.

a = 4.045 Å, b = 7.790 Å, c = 5.411 Å
α = 90.00°, β = 96.64°, γ = 90.00°
Fractional positions:
Sm 0.000 0.246 0.000
Sm 0.000 0.754 0.000
Np 0.500 0.000 0.500
Tl 0.500 0.500 0.500
O 0.062 0.000 0.273
O 0.099 0.500 0.238
O 0.448 0.206 0.738
O 0.448 0.794 0.738
O 0.552 0.206 0.262
O 0.552 0.794 0.262
O 0.901 0.500 0.762
O 0.938 0.000 0.727

## Properties
Total magnetization (μB per formula unit): 0.0
SG: P2/m, No. 10
Crystal system: monoclinic
Electronic total energy (eV per cell): -94.808

---

(10)
Density functional theory data (PBE) for a relaxed structure of ZnBRh2.

a = 5.184 Å, b = 5.184 Å, c = 5.184 Å
α = 104.33°, β = 104.33°, γ = 120.33°
Fractional positions:
Zn 0.000 0.000 0.000
Zn 0.750 0.250 0.500
B 0.250 0.750 0.500
B 0.500 0.500 0.000
Rh 0.204 0.125 0.579
Rh 0.375 0.796 0.921
Rh 0.546 0.625 0.421
Rh 0.875 0.454 0.079

## Properties
Total magnetization (μB per formula unit): 0.0
Energy relative to the lowest polymorph listed for this composition (eV/atom): 0.240
SG: I-42d, No. 122
Crystal system: tetragonal
Energy of formation from the pure elements (kJ per mole of atoms): -18.48

---

(11)
Density functional theory data (PBE) for a relaxed structure of TcIrRu2.

a = 2.715 Å, b = 2.715 Å, c = 7.713 Å
α = 90.00°, β = 90.00°, γ = 90.00°
Fractional positions:
Tc 0.000 0.000 0.000
Ir 0.500 0.500 0.252
Ru 0.000 0.000 0.505
Ru 0.500 0.500 0.750

## Properties
Total magnetization (μB per formula unit): 0.0
Energy relative to the lowest polymorph listed for this composition (eV/atom): 0.126
SG: P4mm, No. 99
Crystal system: tetragonal
Energy of formation from the pure elements (kJ per mole of atoms): -0.95

---

(12)
Density functional theory data (PBE) for a relaxed structure of Be4GaPd5.

a = 2.832 Å, b = 2.832 Å, c = 15.060 Å
α = 90.00°, β = 90.00°, γ = 90.00°
Fractional positions:
Be 0.000 0.000 0.094
Be 0.000 0.000 0.282
Be 0.000 0.000 0.718
Be 0.000 0.000 0.906
Ga 0.000 0.000 0.500
Pd 0.500 0.500 0.000
Pd 0.500 0.500 0.187
Pd 0.500 0.500 0.377
Pd 0.500 0.500 0.623
Pd 0.500 0.500 0.813

## Properties
Total magnetization (μB per formula unit): 0.0
SG: P4/mmm, No. 123
Crystal system: tetragonal
Energy of formation from the pure elements (kJ per mole of atoms): -55.51

---

(13)
Density functional theory data (PBE) for a relaxed structure of K2PuIrO6.

a = 6.572 Å, b = 6.572 Å, c = 6.572 Å
α = 128.35°, β = 128.35°, γ = 76.07°
Fractional positions:
K 0.250 0.750 0.500
K 0.750 0.250 0.500
Pu 0.000 0.000 0.000
Ir 0.500 0.500 0.000
O 0.180 0.180 0.000
O 0.265 0.265 0.531
O 0.265 0.735 0.000
O 0.735 0.265 0.000
O 0.735 0.735 0.469
O 0.820 0.820 0.000

## Properties
Total magnetization (μB per formula unit): 2.7
SG: I4/mmm, No. 139
Crystal system: tetragonal
Electronic total energy (eV per cell): -72.900

---

(14)
Density functional theory data (PBE) for a relaxed structure of Pr3Y2Er6Sc.

a = 6.161 Å, b = 6.161 Å, c = 11.732 Å
α = 95.02°, β = 95.02°, γ = 119.98°
Fractional positions:
Pr 0.000 0.000 0.000
Pr 0.333 0.667 0.000
Pr 0.667 0.333 0.000
Y 0.167 0.833 0.500
Y 0.833 0.167 0.500
Er 0.089 0.419 0.256
Er 0.250 0.250 0.744
Er 0.419 0.089 0.256
Er 0.581 0.911 0.744
Er 0.750 0.750 0.256
Er 0.911 0.581 0.744
Sc 0.500 0.500 0.500

## Properties
Total magnetization (μB per formula unit): 0.0
SG: C2/m, No. 12
Crystal system: monoclinic
Energy of formation from the pure elements (kJ per mole of atoms): 3.33

---

(15)
Density functional theory data (PBE) for a relaxed structure of MgCuBr2.

a = 3.856 Å, b = 3.856 Å, c = 6.796 Å
α = 90.00°, β = 90.00°, γ = 90.00°
Fractional positions:
Mg 0.000 0.000 0.000
Cu 0.500 0.500 0.614
Br 0.000 0.000 0.614
Br 0.500 0.500 0.106

## Properties
Total magnetization (μB per formula unit): 0.0
Energy relative to the lowest polymorph listed for this composition (eV/atom): 0.208
SG: P4mm, No. 99
Crystal system: tetragonal

---

(16)
Density functional theory data (PBE) for a relaxed structure of MgPIr.

a = 5.322 Å, b = 3.661 Å, c = 5.539 Å
α = 90.00°, β = 108.39°, γ = 90.00°
Fractional positions:
Mg 0.195 0.250 0.426
Mg 0.805 0.750 0.574
P 0.408 0.750 0.149
P 0.592 0.250 0.851
Ir 0.179 0.250 0.931
Ir 0.821 0.750 0.069

## Properties
Total magnetization (μB per formula unit): 0.0
SG: P2_1/m, No. 11
Crystal system: monoclinic
Energy of formation from the pure elements (kJ per mole of atoms): -39.66

---

(17)
Density functional theory data (PBE) for a relaxed structure of MnIrSe3.

a = 4.559 Å, b = 4.559 Å, c = 4.559 Å
α = 90.00°, β = 90.00°, γ = 90.00°
Fractional positions:
Mn 0.000 0.000 0.000
Ir 0.500 0.500 0.500
Se 0.000 0.000 0.500
Se 0.000 0.500 0.000
Se 0.500 0.000 0.000

## Properties
Total magnetization (μB per formula unit): 0.0
Energy relative to the lowest polymorph listed for this composition (eV/atom): 1.126
SG: Pm-3m, No. 221
Crystal system: cubic

---

(18)
Density functional theory data (PBE) for a relaxed structure of Ca9Cd3N2.

a = 7.109 Å, b = 7.109 Å, c = 8.768 Å
α = 90.00°, β = 90.00°, γ = 120.00°
Fractional positions:
Ca 0.000 0.500 0.000
Ca 0.175 0.350 0.682
Ca 0.175 0.825 0.682
Ca 0.350 0.175 0.318
Ca 0.500 0.000 0.000
Ca 0.500 0.500 0.000
Ca 0.650 0.825 0.682
Ca 0.825 0.175 0.318
Ca 0.825 0.650 0.318
Cd 0.000 0.000 0.000
Cd 0.333 0.667 0.341
Cd 0.667 0.333 0.659
N 0.333 0.667 0.833
N 0.667 0.333 0.167

## Properties
Total magnetization (μB per formula unit): 0.3
SG: P-3m1, No. 164
Crystal system: trigonal
Electronic total energy (eV per cell): -44.412

---

(19)
Density functional theory data (PBE) for a relaxed structure of GePb2Au2.

a = 7.616 Å, b = 7.616 Å, c = 7.902 Å
α = 90.00°, β = 90.00°, γ = 145.76°
Fractional positions:
Ge 0.097 0.903 0.500
Ge 0.903 0.097 0.000
Pb 0.296 0.704 0.712
Pb 0.448 0.552 0.378
Pb 0.552 0.448 0.878
Pb 0.704 0.296 0.212
Au 0.054 0.946 0.175
Au 0.320 0.680 0.081
Au 0.680 0.320 0.581
Au 0.946 0.054 0.675

## Properties
Total magnetization (μB per formula unit): 0.0
Energy relative to the lowest polymorph listed for this composition (eV/atom): 0.000
SG: Cmc2_1, No. 36
Crystal system: orthorhombic
Energy of formation from the pure elements (kJ per mole of atoms): -2.02

---

(20)
Density functional theory data (PBE) for a relaxed structure of TlReSb2.

a = 4.994 Å, b = 4.994 Å, c = 6.989 Å
α = 106.70°, β = 106.70°, γ = 39.36°
Fractional positions:
Tl 0.000 0.000 0.000
Re 0.368 0.368 0.611
Sb 0.658 0.658 0.652
Sb 0.816 0.816 0.301

## Properties
Total magnetization (μB per formula unit): 0.0
Energy relative to the lowest polymorph listed for this composition (eV/atom): 0.099
SG: Cm, No. 8
Crystal system: monoclinic

---

(21)
Density functional theory data (PBE) for a relaxed structure of ZrMn2Cr.

a = 5.193 Å, b = 5.193 Å, c = 5.193 Å
α = 145.30°, β = 131.83°, γ = 60.72°
Fractional positions:
Zr 0.000 0.000 0.000
Mn 0.482 0.482 0.000
Mn 0.739 0.239 0.500
Cr 0.262 0.762 0.500

## Properties
Total magnetization (μB per formula unit): 1.8
Energy relative to the lowest polymorph listed for this composition (eV/atom): 0.119
SG: Imm2, No. 44
Crystal system: orthorhombic
Energy of formation from the pure elements (kJ per mole of atoms): 16.19

---

(22)
Density functional theory data (PBE) for a relaxed structure of NaNbPd6.

a = 4.011 Å, b = 4.011 Å, c = 7.967 Å
α = 90.00°, β = 90.00°, γ = 90.00°
Fractional positions:
Na 0.000 0.000 0.000
Nb 0.000 0.000 0.500
Pd 0.000 0.500 0.262
Pd 0.000 0.500 0.738
Pd 0.500 0.000 0.262
Pd 0.500 0.000 0.738
Pd 0.500 0.500 0.000
Pd 0.500 0.500 0.500

## Properties
Total magnetization (μB per formula unit): 0.0
SG: P4/mmm, No. 123
Crystal system: tetragonal
Energy of formation from the pure elements (kJ per mole of atoms): -26.38

---

(23)
Density functional theory data (PBE) for a relaxed structure of CaHo2HfP4.

a = 6.766 Å, b = 3.924 Å, c = 6.853 Å
α = 90.00°, β = 109.05°, γ = 90.00°
Fractional positions:
Ca 0.000 0.000 0.000
Ho 0.500 0.000 0.500
Ho 0.500 0.500 0.000
Hf 0.000 0.500 0.500
P 0.238 0.000 0.735
P 0.247 0.500 0.263
P 0.753 0.500 0.737
P 0.762 0.000 0.265

## Properties
Total magnetization (μB per formula unit): 0.0
SG: P2/m, No. 10
Crystal system: monoclinic
Energy of formation from the pure elements (kJ per mole of atoms): -133.59

---

(24)
Density functional theory data (PBE) for a relaxed structure of TiZnSn2Sb.

a = 5.714 Å, b = 5.714 Å, c = 4.862 Å
α = 90.00°, β = 90.00°, γ = 90.00°
Fractional positions:
Ti 0.000 0.000 0.000
Zn 0.500 0.500 0.000
Sn 0.000 0.500 0.500
Sn 0.500 0.000 0.500
Sb 0.500 0.500 0.500

## Properties
Total magnetization (μB per formula unit): 0.0
SG: P4/mmm, No. 123
Crystal system: tetragonal
Electronic total energy (eV per cell): -16.073

---

(25)
Density functional theory data (PBE) for a relaxed structure of Ta2RuAu.

a = 4.834 Å, b = 4.834 Å, c = 3.023 Å
α = 90.00°, β = 90.00°, γ = 108.04°
Fractional positions:
Ta 0.000 0.500 0.000
Ta 0.500 0.000 0.000
Ru 0.000 0.000 0.500
Au 0.500 0.500 0.500

## Properties
Total magnetization (μB per formula unit): 0.0
Energy relative to the lowest polymorph listed for this composition (eV/atom): 0.029
SG: Cmmm, No. 65
Crystal system: orthorhombic
Energy of formation from the pure elements (kJ per mole of atoms): -12.93

---

(26)
Density functional theory data (PBE) for a relaxed structure of Ba2LaHg.

a = 6.697 Å, b = 6.697 Å, c = 6.697 Å
α = 133.31°, β = 133.31°, γ = 68.18°
Fractional positions:
Ba 0.000 0.000 0.000
Ba 0.750 0.250 0.500
La 0.500 0.500 0.000
Hg 0.250 0.750 0.500

## Properties
Total magnetization (μB per formula unit): 0.0
SG: I-4m2, No. 119
Crystal system: tetragonal
Energy of formation from the pure elements (kJ per mole of atoms): 1.99